Entry 1:
Below is a relaxed structure of Si2IrRh2, with properties calculated at the GGA-PBE level.

a b c (Å): 6.906 6.906 2.836
angles (deg): 90.00 90.00 90.00
Sites, in units of the cell vectors:
Si 0.346 0.846 0.000
Si 0.846 0.654 0.000
Si 0.654 0.154 0.000
Si 0.154 0.346 0.000
Ir 0.000 0.000 0.000
Ir 0.500 0.500 0.000
Rh 0.144 0.644 0.500
Rh 0.644 0.856 0.500
Rh 0.856 0.356 0.500
Rh 0.356 0.144 0.500

Space-group type: P4/mbm, No. 127
E_tot, eV/atom: -7.417
Formation energy from raw total energies, eV/f.u.: -2.7

Entry 2:
Below is a relaxed structure of SiMoIr, with properties calculated at the GGA-PBE level.

a b c (Å): 5.401 5.401 5.401
angles (deg): 148.81 148.77 44.72
Sites, in units of the cell vectors:
Ir 0.017 0.017 0.000
Mo 0.321 0.321 0.000
Si 0.662 0.662 0.000

Space-group type: I4mm, No. 107
E_tot, eV/atom: -8.712
ΔE to the lowest computed polymorph, eV/atom: 0.187
Formation energy from raw total energies, eV/f.u.: -1.0

Entry 3:
Below is a relaxed structure of ZnCo3Pd, with properties calculated at the GGA-PBE level.

a b c (Å): 4.563 4.563 4.563
angles (deg): 90.00 90.00 90.00
Site moments in Bohr magnetons follow the coordinates.
Sites, in units of the cell vectors:
Zn 0.500 0.500 0.500  -0.02
Co 0.000 0.500 0.000  1.90
Co 0.000 0.000 0.500  2.84
Co 0.500 0.000 0.000  1.19
Pd 0.000 0.000 0.000  0.50

Space-group type: Pm-3m, No. 221
E_tot, eV/atom: -4.199
ΔE to the lowest computed polymorph, eV/atom: 0.178
DFT formation energy, eV/atom: 1.36

Entry 4:
Below is a relaxed structure of Sr2TiIr2, with properties calculated at the GGA-PBE level.

a b c (Å): 6.827 6.827 5.015
angles (deg): 90.00 90.00 90.00
Sites, in units of the cell vectors:
Sr 0.175 0.675 0.500
Sr 0.675 0.825 0.500
Sr 0.825 0.325 0.500
Sr 0.325 0.175 0.500
Ir 0.369 0.869 0.000
Ir 0.869 0.631 0.000
Ir 0.631 0.131 0.000
Ir 0.131 0.369 0.000
Ti 0.000 0.000 0.000
Ti 0.500 0.500 0.000

Space-group type: P4/mbm, No. 127
E_tot, eV/atom: -5.970
DFT formation energy, eV/atom: -0.17

Entry 5:
Below is a relaxed structure of PmMgI4, with properties calculated at the GGA-PBE level.

a b c (Å): 4.122 7.931 15.703
angles (deg): 92.49 90.00 90.00
Site moments in Bohr magnetons follow the coordinates.
Sites, in units of the cell vectors:
Pm 0.500 0.500 0.500  0.09
Pm 0.000 0.000 0.000  0.09
Mg 0.000 0.000 0.500  0.00
Mg 0.500 0.500 0.000  0.00
I 0.500 0.151 0.393  0.00
I 0.000 0.349 0.107  0.00
I 0.500 0.849 0.607  0.00
I 0.000 0.651 0.893  0.00
I 0.000 0.689 0.383  0.00
I 0.500 0.811 0.117  0.00
I 0.000 0.311 0.617  0.00
I 0.500 0.189 0.883  0.00

Space-group type: C2/m, No. 12
E_tot, eV/atom: -3.212
Formation energy from raw total energies, eV/f.u.: -6.7

Entry 6:
Below is a relaxed structure of Pr4IrPt, with properties calculated at the GGA-PBE level.

a b c (Å): 7.129 7.128 8.748
angles (deg): 66.17 66.08 90.35
Sites, in units of the cell vectors:
Pr 0.347 0.905 0.250
Pr 0.596 0.595 0.750
Pr 0.653 0.095 0.750
Pr 0.404 0.405 0.250
Pr 0.847 0.848 0.251
Pr 0.097 0.652 0.749
Pr 0.153 0.152 0.749
Pr 0.903 0.348 0.251
Ir 0.000 0.000 0.500
Ir 0.500 0.500 0.500
Pt 0.249 0.750 0.000
Pt 0.751 0.250 0.000

Space-group type: P-1, No. 2
E_tot, eV/atom: -6.262
ΔE to the lowest computed polymorph, eV/atom: 0.009
DFT formation energy, eV/atom: -0.59

Entry 7:
Below is a relaxed structure of Ce2BeCo4P3, with properties calculated at the GGA-PBE level.

a b c (Å): 3.876 3.876 9.274
angles (deg): 90.00 90.00 90.00
Site moments in Bohr magnetons follow the coordinates.
Sites, in units of the cell vectors:
Ce 0.500 0.000 0.255  -0.04
Ce 0.000 0.500 0.745  -0.04
Be 0.500 0.500 0.500  0.01
Co 0.500 0.500 0.000  0.48
Co 0.000 0.000 0.000  0.51
Co 0.500 0.000 0.621  0.00
Co 0.000 0.500 0.379  0.00
P 0.000 0.000 0.500  0.00
P 0.500 0.000 0.868  0.01
P 0.000 0.500 0.132  0.01

Space-group type: P-4m2, No. 115
E_tot, eV/atom: -6.926
DFT formation energy, eV/atom: -0.90

Entry 8:
Below is a relaxed structure of Pm5GaSe4, with properties calculated at the GGA-PBE level.

a b c (Å): 5.951 7.320 7.320
angles (deg): 80.49 66.01 66.01
Sites, in units of the cell vectors:
Pm 0.903 0.394 0.801
Pm 0.297 0.801 0.606
Pm 0.705 0.199 0.394
Pm 0.099 0.606 0.199
Pm 0.501 0.000 0.000
Ga 0.001 0.000 0.000
Se 0.402 0.400 0.798
Se 0.802 0.798 0.600
Se 0.200 0.202 0.400
Se 0.600 0.600 0.202

Space-group type: I4/m, No. 87
E_tot, eV/atom: -5.703
Formation energy from raw total energies, eV/f.u.: -16.3

Q: The highest E_tot belongs to which entry?
A: PmMgI4